GaReAs2Br at its PBEsol-relaxed geometry, computed with SCAN.

The structure in POSCAR format:
```
GaReAs2Br
1.0
-2.8115 0.0570 3.7611
-3.7221 -0.7210 -2.7713
0.6451 -5.5041 0.5656
Br Ga As Re
1 1 2 1
Cartesian
0.3225 -2.7520 0.2828 Br
-2.9442 -3.0840 0.7777 Ga
-1.8610 -0.3605 -1.3857 As
-1.4057 0.0285 1.8806 As
0.0000 0.0000 0.0000 Re
```

Computed properties:
ΔE_f (raw)	0.46	eV/atom
polymorph energy (0 for the lowest one)	0	kJ/mol of formula units
symmetry	P4/mmm, No. 123
total magnetic moment	0.0	Bohr magnetons per cell